Record 1
A relaxed Pu3CuPd2 crystal. Source: Alexandria, functional GGA-PBE.

Cell lengths 3.3265, 3.3265, 11.5843 Å; angles 90.00, 90.00, 90.00 degrees
Each line ends with the local moment (μB).
Element x y z (fractional)
Pu  0.0000  0.0000  0.0000  -5.30
Pu  0.0000  0.0000  0.6652  5.38
Pu  0.0000  0.0000  0.3348  5.38
Cu  0.5000  0.5000  0.5000  0.05
Pd  0.5000  0.5000  0.8308  0.02
Pd  0.5000  0.5000  0.1692  0.02

Computed properties:
- Crystal system: tetragonal
- Spin magnetization: 5.95 μB per formula unit
- Energy of formation: -0.208 eV per atom
- Calculated total energy: -9.7873 eV per atom

Record 2
A relaxed Pu2CuPd3 crystal. Source: Alexandria, functional GGA-PBE.

Cell lengths 5.2787, 5.2787, 5.2787 Å; angles 63.26, 63.26, 63.26 degrees
Each line ends with the local moment (μB).
Element x y z (fractional)
Pu  0.3761  0.3761  0.3761  5.37
Pu  0.6239  0.6239  0.6239  5.37
Cu  0.0000  0.0000  0.0000  0.01
Pd  0.0000  0.0000  0.5000  -0.04
Pd  0.5000  0.0000  0.0000  -0.04
Pd  0.0000  0.5000  0.0000  -0.04

Computed properties:
- Crystal system: trigonal
- Spin magnetization: 11.21 μB per formula unit
- Energy of formation: -0.482 eV per atom
- Calculated total energy: -8.5388 eV per atom

Record 3
A relaxed PuCuPd4 crystal. Source: Alexandria, functional GGA-PBE.

Cell lengths 4.0547, 6.8708, 7.4460 Å; angles 90.00, 90.00, 90.00 degrees
Each line ends with the local moment (μB).
Element x y z (fractional)
Pu  0.0000  0.6466  0.7500  5.00
Pu  0.0000  0.3534  0.2500  5.00
Cu  0.0000  0.2395  0.7500  0.00
Cu  0.0000  0.7605  0.2500  0.00
Pd  0.0000  0.0000  0.5000  -0.06
Pd  0.0000  0.0000  0.0000  -0.06
Pd  0.5000  0.9573  0.7500  -0.09
Pd  0.5000  0.0427  0.2500  -0.09
Pd  0.5000  0.6918  0.0454  -0.07
Pd  0.5000  0.3082  0.9546  -0.07
Pd  0.5000  0.6918  0.4546  -0.07
Pd  0.5000  0.3082  0.5454  -0.07

Computed properties:
- Crystal system: orthorhombic
- Spin magnetization: 4.94 μB per formula unit
- Energy of formation: -0.287 eV per atom
- Calculated total energy: -6.8201 eV per atom

Record 4
A relaxed PuCu4Pd crystal. Source: Alexandria, functional GGA-PBE.

Cell lengths 5.0403, 5.0403, 5.0403 Å; angles 60.00, 60.00, 60.00 degrees
Each line ends with the local moment (μB).
Element x y z (fractional)
Cu  0.6260  0.6260  0.1219  0.04
Cu  0.6260  0.1219  0.6260  0.04
Cu  0.6260  0.6260  0.6260  0.04
Cu  0.1219  0.6260  0.6260  0.04
Pd  0.0000  0.0000  0.0000  -0.04
Pu  0.2500  0.2500  0.2500  5.13

Computed properties:
- Crystal system: cubic
- Spin magnetization: 5.60 μB per formula unit
- Energy of formation: -0.150 eV per atom
- Calculated total energy: -6.1350 eV per atom

Record 5
A relaxed Pu4CuPd2Rh crystal. Source: Alexandria, functional GGA-PBE.

Cell lengths 4.9616, 4.9616, 8.5054 Å; angles 73.04, 73.04, 60.00 degrees
Each line ends with the local moment (μB).
Element x y z (fractional)
Pu  0.3789  0.3789  0.8633  5.33
Pu  0.8718  0.8718  0.3846  5.34
Pu  0.1282  0.1282  0.6154  5.34
Pu  0.6211  0.6211  0.1367  5.33
Cu  0.0000  0.0000  0.0000  0.04
Pd  0.7462  0.7462  0.7614  0.00
Pd  0.2538  0.2538  0.2386  0.00
Rh  0.5000  0.5000  0.5000  -0.33

Computed properties:
- Crystal system: trigonal
- Spin magnetization: 22.36 μB per formula unit
- Energy of formation: -0.274 eV per atom
- Calculated total energy: -10.1692 eV per atom

Record 6
A relaxed PuCuPdRu crystal. Source: Alexandria, functional GGA-PBE.

Cell lengths 4.5556, 4.5556, 4.5556 Å; angles 60.00, 60.00, 60.00 degrees
Each line ends with the local moment (μB).
Element x y z (fractional)
Ru  0.2500  0.2500  0.2500  -0.69
Cu  0.0000  0.0000  0.0000  -0.02
Pd  0.7500  0.7500  0.7500  -0.08
Pu  0.5000  0.5000  0.5000  4.79

Computed properties:
- Crystal system: cubic
- Spin magnetization: 4.13 μB per formula unit
- Energy of formation: -0.123 eV per atom
- Calculated total energy: -8.3474 eV per atom